Entry 1:
VASP calculation (PBE) on a geometry-optimized YCo2SiRh structure.

Final energy (eV for the cell shown): -32.2

Lattice parameters (Å, degrees): 4.6588 4.6588 4.3986 90.00 90.00 90.00
Element x y z (fractional)
Y 0.0000 0.0000 0.0000
Co 0.0000 0.5000 0.5000
Co 0.5000 0.0000 0.5000
Si 0.5000 0.5000 0.0000
Rh 0.5000 0.5000 0.5000



Entry 2:
VASP calculation (PBE) on a geometry-optimized Nd3Dy4Tl2 structure.

Final energy (eV for the cell shown): -76.2

Lattice parameters (Å, degrees): 9.4058 9.4058 6.5826 93.68 93.68 93.04
Element x y z (fractional)
Nd 0.0321 0.9679 0.7500
Nd 0.3194 0.4535 0.4037
Nd 0.4535 0.3194 0.9037
Nd 0.5465 0.6806 0.0963
Nd 0.6806 0.5465 0.5963
Nd 0.9679 0.0321 0.2500
Dy 0.0264 0.6746 0.4110
Dy 0.1816 0.6076 0.9117
Dy 0.3254 0.9736 0.0890
Dy 0.3924 0.8184 0.5883
Dy 0.6076 0.1816 0.4117
Dy 0.6746 0.0264 0.9110
Dy 0.8184 0.3924 0.0883
Dy 0.9736 0.3254 0.5890
Tl 0.1282 0.2812 0.0346
Tl 0.2812 0.1282 0.5346
Tl 0.7188 0.8718 0.4654
Tl 0.8718 0.7188 0.9654



Entry 3:
VASP calculation (PBE) on a geometry-optimized CaLaIn4 structure.

Energy above the lowest structure with this stoichiometry (meV/atom): 0

Lattice parameters (Å, degrees): 6.4225 6.4225 6.4225 135.41 107.36 89.40
Element x y z (fractional)
Ca 0.0000 0.0000 0.0000
La 0.6005 0.1005 0.5000
In 0.0171 0.7171 0.3000
In 0.1881 0.3954 0.7926
In 0.4172 0.7171 0.7000
In 0.6028 0.3954 0.2074



Entry 4:
VASP calculation (PBE) on a geometry-optimized Zr4AlHg structure.

Energy above the lowest structure with this stoichiometry (meV/atom): 0

Lattice parameters (Å, degrees): 5.7363 5.7363 5.7363 60.00 60.00 60.00
Element x y z (fractional)
Zr 0.1239 0.1239 0.1239
Zr 0.1239 0.1239 0.6283
Zr 0.1239 0.6283 0.1239
Zr 0.6283 0.1239 0.1239
Al 0.7500 0.7500 0.7500
Hg 0.5000 0.5000 0.5000



Entry 5:
VASP calculation (PBE) on a geometry-optimized Pr3Dy4Zn structure.

Final energy (eV for the cell shown): -34.6

Lattice parameters (Å, degrees): 3.6099 3.6099 19.0743 90.00 90.00 90.00
Element x y z (fractional)
Pr 0.0000 0.0000 0.0000
Pr 0.0000 0.0000 0.2706
Pr 0.0000 0.0000 0.7294
Dy 0.5000 0.5000 0.1352
Dy 0.5000 0.5000 0.4080
Dy 0.5000 0.5000 0.5920
Dy 0.5000 0.5000 0.8648
Zn 0.0000 0.0000 0.5000



Entry 6:
VASP calculation (PBE) on a geometry-optimized InSi2Sb structure.

Energy above the lowest structure with this stoichiometry (meV/atom): 120

Lattice parameters (Å, degrees): 3.9898 3.9898 7.0009 106.64 106.64 59.45
Element x y z (fractional)
In 0.0000 0.0000 0.0000
Si 0.2481 0.2481 0.7438
Si 0.7519 0.7519 0.2562
Sb 0.5000 0.5000 0.5000



Entry 7:
VASP calculation (PBE) on a geometry-optimized SmPd2Au5 structure.

Final energy (eV for the cell shown): -33.9

Lattice parameters (Å, degrees): 6.5126 6.5126 6.5126 142.14 101.17 90.95
Element x y z (fractional)
Sm 0.0000 0.0000 0.0000
Pd 0.2011 0.7011 0.5000
Pd 0.7989 0.2989 0.5000
Au 0.1648 0.3411 0.8238
Au 0.4827 0.6589 0.8238
Au 0.5000 0.0000 0.5000
Au 0.5173 0.3411 0.1762
Au 0.8352 0.6589 0.1762



Entry 8:
VASP calculation (PBE) on a geometry-optimized LiTmScCr structure.

Final energy (eV for the cell shown): -21.6

Lattice parameters (Å, degrees): 4.8911 4.8911 4.8911 60.00 60.00 60.00
Element x y z (fractional)
Li 0.0000 0.0000 0.0000
Tm 0.7500 0.7500 0.7500
Sc 0.2500 0.2500 0.2500
Cr 0.5000 0.5000 0.5000



| no. | density of states at the Fermi level (states/eV per cell) |
| --- | --- |
| 1 | 3.42 |
| 2 | 23.20 |
| 3 | 3.15 |
| 4 | 5.35 |
| 5 | 9.76 |
| 6 | 1.83 |
| 7 | 1.90 |
| 8 | 2.98 |